DFT (PBE) results for an optimized crystal structure of CeNp2Os.

Lattice parameters (Å, degrees): 3.478 3.478 7.057 90.00 90.00 90.00
Fractional positions:
Ce: 0.000 0.000 0.000
Np: 0.500 0.500 0.284
Np: 0.500 0.500 0.716
Os: 0.000 0.000 0.500

Computed properties:
* ΔE_f: 236 meV/atom
* DOS(E_F): 2.599 states/eV per atom
* SG: No. 123
* offset from the most stable computed form: 0.00 eV/f.u.



DFT (PBE) results for an optimized crystal structure of CeNpOs2.

Lattice parameters (Å, degrees): 4.837 4.837 4.837 60.00 60.00 60.00
Fractional positions:
Ce: 0.000 0.000 0.000
Np: 0.500 0.500 0.500
Os: 0.250 0.250 0.250
Os: 0.750 0.750 0.750

Computed properties:
* ΔE_f: 85 meV/atom
* DOS(E_F): 1.654 states/eV per atom
* SG: No. 225
* offset from the most stable computed form: 0.20 eV/f.u.



DFT (PBE) results for an optimized crystal structure of CeNpOs2.

Lattice parameters (Å, degrees): 5.572 5.572 5.572 47.17 47.17 47.17
Fractional positions:
Ce: 0.000 0.000 0.000
Np: 0.500 0.500 0.500
Os: 0.216 0.216 0.216
Os: 0.784 0.784 0.784

Computed properties:
* ΔE_f: 35 meV/atom
* DOS(E_F): 1.827 states/eV per atom
* SG: No. 166
* offset from the most stable computed form: 0.00 eV/f.u.



DFT (PBE) results for an optimized crystal structure of CeNpPaOs.

Lattice parameters (Å, degrees): 4.940 4.940 4.940 60.00 60.00 60.00
Fractional positions:
Ce: 0.000 0.000 0.000
Np: 0.750 0.750 0.750
Pa: 0.500 0.500 0.500
Os: 0.250 0.250 0.250

Computed properties:
* ΔE_f: 122 meV/atom
* DOS(E_F): 2.259 states/eV per atom
* SG: No. 216



Calculated magnetization (Bohr magnetons per cell), listed in the same order as above: 7.0, 3.2, 2.0, 5.7